Record 1
Ca3Ge3Rh2: relaxed, PBE.

Results
symmetry	Pnma (62)
energy of formation	-0.71	eV/atom
DOS at the Fermi energy	17.94	states/eV/cell
electronic total energy	-5.030	eV/atom
ρ	5.222	g/cm3

The structure in POSCAR format:
```
Ca3Ge3Rh2
1.0
-3.207 3.540 3.335
1.414 -4.783 6.437
11.910 7.796 3.176
Ca Rh Ge
12 8 12
direct
0.122 0.454 0.113 Ca
0.378 0.954 0.113 Ca
0.878 0.546 0.613 Ca
0.883 0.807 0.250 Ca
0.622 0.046 0.887 Ca
0.878 0.546 0.887 Ca
0.617 0.307 0.250 Ca
0.378 0.954 0.387 Ca
0.122 0.454 0.387 Ca
0.117 0.193 0.750 Ca
0.622 0.046 0.613 Ca
0.383 0.693 0.750 Ca
0.601 0.594 0.410 Rh
0.601 0.594 0.090 Rh
0.899 0.094 0.090 Rh
0.899 0.094 0.410 Rh
0.101 0.906 0.910 Rh
0.399 0.406 0.910 Rh
0.399 0.406 0.590 Rh
0.101 0.906 0.590 Rh
0.913 0.849 0.750 Ge
0.129 0.192 0.956 Ge
0.413 0.651 0.250 Ge
0.371 0.692 0.956 Ge
0.629 0.308 0.044 Ge
0.129 0.192 0.544 Ge
0.871 0.808 0.044 Ge
0.371 0.692 0.544 Ge
0.087 0.151 0.250 Ge
0.629 0.308 0.456 Ge
0.871 0.808 0.456 Ge
0.587 0.349 0.750 Ge
```

---

Record 2
NaTiInO2: relaxed, PBE.

Results
symmetry	P4/mmm (123)
DOS at the Fermi energy	1.22	states/eV/cell
formation energy (no corrections)	-1.060	eV per atom
electronic total energy	-5.434	eV/atom
ρ	3.934	g/cm3

The structure in POSCAR format:
```
NaTiInO2
1.0
3.914 0.000 0.000
0.000 5.996 0.000
0.000 0.000 3.914
Na O Ti In
1 2 1 1
direct
0.000 0.500 0.000 Na
0.500 0.000 0.000 O
0.000 0.000 0.500 O
0.000 0.000 0.000 Ti
0.500 0.500 0.500 In
```

---

Record 3
PrY3Co: relaxed, PBE.

Results
symmetry	Pm-3m (221)
energy of formation	-0.03	eV/atom
DOS at the Fermi energy	8.24	states/eV/cell
electronic total energy	-6.287	eV/atom
ρ	5.105	g/cm3

The structure in POSCAR format:
```
PrY3Co
1.0
-4.538 1.374 2.444
-2.649 -3.624 -2.882
0.917 -3.665 3.765
Y Co Pr
3 1 1
direct
0.000 0.000 0.500 Y
0.500 0.000 0.000 Y
0.000 0.500 0.000 Y
0.000 0.000 0.000 Co
0.500 0.500 0.500 Pr
```

---

Record 4
La2ZnPdN: relaxed, PBE.

Results
symmetry	P4/mmm (123)
DOS at the Fermi energy	3.36	states/eV/cell
formation energy (no corrections)	-0.665	eV per atom
electronic total energy	-5.595	eV/atom
ρ	7.244	g/cm3

The structure in POSCAR format:
```
La2ZnPdN
1.0
5.123 0.000 0.000
0.000 5.123 0.000
0.000 0.000 4.050
La N Zn Pd
2 1 1 1
direct
0.500 0.000 0.000 La
0.000 0.500 0.000 La
0.000 0.000 0.000 N
0.000 0.000 0.500 Zn
0.500 0.500 0.500 Pd
```